{
  "formula": "V3Ga",
  "functional": "meta-GGA SCAN",
  "state": "PBEsol geometry",
  "lattice": [[1.576, -2.021, 0.000], [1.576, 2.021, 0.000], [0.000, 0.000, 8.318]],
  "species": ["V", "V", "V", "Ga"],
  "frac_coords": [[0.000, 0.000, 0.000], [0.500, 0.500, 0.248], [0.500, 0.500, 0.752], [0.000, 0.000, 0.500]],
  "m_tot_mub_per_fu": 0.000,
  "n_ef_per_ev_cell": 4.15,
  "ef_ev_per_atom": -0.137,
  "final_energy_ev_per_atom": -17.34
}

{
  "formula": "SmSb",
  "functional": "meta-GGA SCAN",
  "state": "PBEsol geometry",
  "lattice": [[0.000, 3.109, 3.109], [3.109, 0.000, 3.109], [3.109, 3.109, 0.000]],
  "species": ["Sm", "Sb"],
  "frac_coords": [[0.000, 0.000, 0.000], [0.500, 0.500, 0.500]],
  "m_tot_mub_per_fu": 0.000,
  "n_ef_per_ev_cell": 0.26,
  "final_energy_ev_per_atom": -42.15
}

{
  "formula": "YMnMo2",
  "functional": "meta-GGA SCAN",
  "state": "PBEsol geometry",
  "lattice": [[-1.890, 1.890, 4.724], [1.890, -1.890, 4.724], [1.890, 1.890, -4.724]],
  "species": ["Y", "Mn", "Mo", "Mo"],
  "frac_coords": [[0.000, 0.000, 0.000], [0.500, 0.500, 0.000], [0.250, 0.750, 0.500], [0.750, 0.250, 0.500]],
  "m_tot_mub_per_fu": 2.727,
  "n_ef_per_ev_cell": 3.23,
  "ef_ev_per_atom": 0.480,
  "final_energy_ev_per_atom": -28.49
}

{
  "formula": "Cr2Os2Pt",
  "functional": "meta-GGA SCAN",
  "state": "PBEsol geometry",
  "lattice": [[-1.902, 1.902, 5.020], [1.902, -1.902, 5.020], [1.902, 1.902, -5.020]],
  "species": ["Cr", "Cr", "Os", "Os", "Pt"],
  "frac_coords": [[0.106, 0.106, 0.000], [0.894, 0.894, 0.000], [0.250, 0.750, 0.500], [0.750, 0.250, 0.500], [0.500, 0.500, 0.000]],
  "m_tot_mub_per_fu": 0.000,
  "n_ef_per_ev_cell": 3.15,
  "ef_ev_per_atom": 0.434,
  "final_energy_ev_per_atom": -49.71
}